(1)
{"formula": "Pm3Er4Ga4", "functional": "PBE-GGA", "state": "relaxed", "spacegroup": "Immm", "e_tot_ev_per_atom": -4.4380, "dos_at_fermi_per_ev_cell": 8.7, "crystal_system": "orthorhombic", "lattice": [[-3.628, -2.021, -2.606], [0.942, -6.339, 3.605], [-4.020, 6.574, 5.111]], "species": ["Pm", "Pm", "Pm", "Ga", "Ga", "Ga", "Ga", "Er", "Er", "Er", "Er"], "frac_coords": [[0.106, 0.106, 0.212], [0.894, 0.894, 0.788], [0.000, 0.500, 0.000], [0.192, 0.692, 0.385], [0.808, 0.308, 0.615], [0.500, 0.184, 0.000], [0.500, 0.816, 0.000], [0.325, 0.544, 0.650], [0.675, 0.456, 0.350], [0.675, 0.893, 0.350], [0.325, 0.107, 0.650]]}

---

(2)
{"formula": "LiAu3Cl", "functional": "PBE-GGA", "state": "relaxed", "spacegroup": "Pm-3m", "e_tot_ev_per_atom": -2.3029, "dos_at_fermi_per_ev_cell": 2.1, "crystal_system": "cubic", "polymorph_energy_mev_per_atom": 0.0, "raw_formation_energy_mev_per_atom": 416, "lattice": [[4.623, 0.000, 0.000], [0.000, 4.623, 0.000], [0.000, 0.000, 4.623]], "species": ["Cl", "Au", "Au", "Au", "Li"], "frac_coords": [[0.500, 0.500, 0.500], [0.000, 0.000, 0.500], [0.000, 0.500, 0.000], [0.500, 0.000, 0.000], [0.000, 0.000, 0.000]]}

---

Please write out number 2 again, unchanged.
{"formula": "LiAu3Cl", "functional": "PBE-GGA", "state": "relaxed", "spacegroup": "Pm-3m", "e_tot_ev_per_atom": -2.3029, "dos_at_fermi_per_ev_cell": 2.1, "crystal_system": "cubic", "polymorph_energy_mev_per_atom": 0.0, "raw_formation_energy_mev_per_atom": 416, "lattice": [[4.623, 0.000, 0.000], [0.000, 4.623, 0.000], [0.000, 0.000, 4.623]], "species": ["Cl", "Au", "Au", "Au", "Li"], "frac_coords": [[0.500, 0.500, 0.500], [0.000, 0.000, 0.500], [0.000, 0.500, 0.000], [0.500, 0.000, 0.000], [0.000, 0.000, 0.000]]}